(1)
The following is a PBE calculation of crystalline Pm7Sm2Ho2 at its relaxed geometry, from the Alexandria database.

Offset from the most stable computed form, meV per atom: 0
Final energy, eV per atom: -4.603
ΔE_f, eV/atom: 0.111

Cell: 5.677 16.104 8.219 Å, 90.00 90.00 90.00°
Space group Imm2 (No. 44)
Unique sites:
1 Pm 0.000 0.000 0.000
2 Pm 0.000 0.162 0.702
3 Pm 0.000 0.365 0.495
4 Pm 0.000 0.367 0.905
5 Sm 0.000 0.201 0.198
6 Ho 0.000 0.000 0.417
7 Ho 0.000 0.500 0.201

***

(2)
The following is a PBE calculation of crystalline Pm3Sm6Ho at its relaxed geometry, from the Alexandria database.

Offset from the most stable computed form, meV per atom: 135
Final energy, eV per atom: -4.438
ΔE_f, eV/atom: 0.277

Cell: 11.457 7.058 8.828 Å, 90.00 102.63 90.00°
Space group C2/m (No. 12)
Unique sites:
1 Pm 0.000 0.000 0.000
2 Pm 0.037 0.500 0.842
3 Sm 0.162 0.500 0.493
4 Sm 0.245 0.273 0.190
5 Ho 0.000 0.000 0.500

***

(3)
The following is a PBE calculation of crystalline Pm6SmHo3 at its relaxed geometry, from the Alexandria database.

Offset from the most stable computed form, meV per atom: 18
Final energy, eV per atom: -4.552
ΔE_f, eV/atom: 0.144

Cell: 11.017 19.264 6.318 Å, 90.00 90.00 90.00°
Space group Cmc2_1 (No. 36)
Unique sites:
1 Pm 0.000 0.038 0.000
2 Pm 0.000 0.280 0.761
3 Pm 0.168 0.459 0.663
4 Pm 0.236 0.291 0.485
5 Sm 0.000 0.197 0.231
6 Ho 0.000 0.385 0.198
7 Ho 0.172 0.115 0.578